[1]
Computed, not measured: a geometry-optimized CdPb7 structure at the GGA-PBEsol level of DFT.

* space group: Fm-3m
* crystal system: cubic
* energy of formation from the pure elements: 0.0246 eV per atom

```
data_CdPb7
_cell_length_a 6.889
_cell_length_b 6.889
_cell_length_c 6.889
_cell_angle_alpha 60.00
_cell_angle_beta 60.00
_cell_angle_gamma 60.00
_space_group_name_H-M_alt 'P 1'
_space_group_IT_number 1
loop_
_space_group_symop_operation_xyz
'x,y,z'
loop_
_atom_site_label
_atom_site_fract_x
_atom_site_fract_y
_atom_site_fract_z
Pb1 0.500 0.000 0.500
Pb2 0.000 0.500 0.500
Pb3 0.000 0.000 0.500
Pb4 0.500 0.500 0.000
Pb5 0.000 0.500 0.000
Pb6 0.500 0.000 0.000
Pb7 0.500 0.500 0.500
Cd1 0.000 0.000 0.000
```

[2]
Computed, not measured: a geometry-optimized CuTeS2Cl structure at the GGA-PBEsol level of DFT.

* space group: P4/mmm
* crystal system: tetragonal
* formation energy from raw total energies: 0.657 eV per atom

```
data_CuTeS2Cl
_cell_length_a 5.002
_cell_length_b 5.002
_cell_length_c 5.089
_cell_angle_alpha 90.00
_cell_angle_beta 90.00
_cell_angle_gamma 90.00
_space_group_name_H-M_alt 'P 1'
_space_group_IT_number 1
loop_
_space_group_symop_operation_xyz
'x,y,z'
loop_
_atom_site_label
_atom_site_fract_x
_atom_site_fract_y
_atom_site_fract_z
Cl1 0.000 0.000 0.500
Cu1 0.500 0.500 0.500
S1 0.000 0.500 0.000
S2 0.500 0.000 0.000
Te1 0.000 0.000 0.000
```

[3]
Computed, not measured: a geometry-optimized TlGaCl4 structure at the GGA-PBEsol level of DFT.

* space group: Pnma
* crystal system: orthorhombic
* formation energy from raw total energies: -1.102 eV per atom

```
data_TlGaCl4
_cell_length_a 7.012
_cell_length_b 9.463
_cell_length_c 10.466
_cell_angle_alpha 90.00
_cell_angle_beta 90.00
_cell_angle_gamma 90.00
_space_group_name_H-M_alt 'P 1'
_space_group_IT_number 1
loop_
_space_group_symop_operation_xyz
'x,y,z'
loop_
_atom_site_label
_atom_site_fract_x
_atom_site_fract_y
_atom_site_fract_z
Cl1 0.250 0.060 0.767
Cl2 0.250 0.442 0.615
Cl3 0.498 0.679 0.059
Cl4 0.998 0.321 0.941
Cl5 0.502 0.321 0.941
Cl6 0.750 0.558 0.385
Cl7 0.002 0.679 0.059
Cl8 0.502 0.179 0.441
Cl9 0.998 0.179 0.441
Cl10 0.750 0.560 0.733
Cl11 0.750 0.942 0.885
Cl12 0.002 0.821 0.559
Cl13 0.750 0.940 0.233
Cl14 0.498 0.821 0.559
Cl15 0.250 0.440 0.267
Cl16 0.250 0.058 0.115
Ga1 0.750 0.685 0.558
Ga2 0.250 0.315 0.442
Ga3 0.750 0.815 0.058
Ga4 0.250 0.185 0.942
Tl1 0.750 0.276 0.202
Tl2 0.250 0.724 0.798
Tl3 0.250 0.776 0.298
Tl4 0.750 0.224 0.702
```

[4]
Computed, not measured: a geometry-optimized Ce2Ta3Se2O8 structure at the GGA-PBEsol level of DFT.

* space group: Pnnm
* crystal system: orthorhombic
* formation energy from raw total energies: -2.684 eV per atom

```
data_Ce2Ta3Se2O8
_cell_length_a 7.603
_cell_length_b 9.892
_cell_length_c 11.704
_cell_angle_alpha 90.00
_cell_angle_beta 90.00
_cell_angle_gamma 90.00
_space_group_name_H-M_alt 'P 1'
_space_group_IT_number 1
loop_
_space_group_symop_operation_xyz
'x,y,z'
loop_
_atom_site_label
_atom_site_fract_x
_atom_site_fract_y
_atom_site_fract_z
Ce1 0.000 0.714 0.155
Ce2 0.500 0.270 0.853
Ce3 0.000 0.230 0.353
Ce4 0.500 0.214 0.345
Ce5 0.500 0.786 0.655
Ce6 0.000 0.770 0.647
Ce7 0.000 0.286 0.845
Ce8 0.500 0.730 0.147
O1 0.254 0.441 0.898
O2 0.262 0.302 0.476
O3 0.500 0.648 0.949
O4 0.247 0.714 0.772
O5 0.754 0.059 0.398
O6 0.246 0.941 0.602
O7 0.253 0.214 0.728
O8 0.262 0.698 0.524
O9 0.500 0.352 0.051
O10 0.500 0.865 0.448
O11 0.738 0.302 0.476
O12 0.762 0.802 0.024
O13 0.254 0.559 0.102
O14 0.238 0.198 0.976
O15 0.000 0.635 0.948
O16 0.000 0.852 0.449
O17 0.500 0.135 0.552
O18 0.738 0.698 0.524
O19 0.753 0.714 0.772
O20 0.747 0.786 0.272
O21 0.753 0.286 0.228
O22 0.746 0.559 0.102
O23 0.754 0.941 0.602
O24 0.000 0.148 0.551
O25 0.747 0.214 0.728
O26 0.000 0.365 0.052
O27 0.253 0.786 0.272
O28 0.247 0.286 0.228
O29 0.238 0.802 0.024
O30 0.746 0.441 0.898
O31 0.246 0.059 0.398
O32 0.762 0.198 0.976
Ta1 0.713 0.500 0.500
Ta2 0.287 0.500 0.500
Ta3 0.750 0.365 0.084
Ta4 0.750 0.635 0.916
Ta5 0.750 0.865 0.416
Ta6 0.750 0.135 0.584
Ta7 0.250 0.635 0.916
Ta8 0.787 0.000 0.000
Ta9 0.250 0.365 0.084
Ta10 0.250 0.135 0.584
Ta11 0.250 0.865 0.416
Ta12 0.213 0.000 0.000
Se1 0.500 0.520 0.333
Se2 0.500 0.976 0.860
Se3 0.500 0.480 0.667
Se4 0.000 0.980 0.833
Se5 0.000 0.476 0.640
Se6 0.000 0.524 0.360
Se7 0.500 0.024 0.140
Se8 0.000 0.020 0.167
```

[5]
Computed, not measured: a geometry-optimized AgMo2Pb structure at the GGA-PBEsol level of DFT.

* space group: Pmmm
* crystal system: orthorhombic
* energy of formation from the pure elements: 0.7236 eV per atom

```
data_AgMo2Pb
_cell_length_a 2.995
_cell_length_b 4.272
_cell_length_c 5.702
_cell_angle_alpha 90.00
_cell_angle_beta 90.00
_cell_angle_gamma 90.00
_space_group_name_H-M_alt 'P 1'
_space_group_IT_number 1
loop_
_space_group_symop_operation_xyz
'x,y,z'
loop_
_atom_site_label
_atom_site_fract_x
_atom_site_fract_y
_atom_site_fract_z
Ag1 0.500 0.500 0.500
Pb1 0.500 0.500 0.000
Mo1 0.000 0.000 0.701
Mo2 0.000 0.000 0.299
```

[6]
Computed, not measured: a geometry-optimized Ca2ScCd structure at the GGA-PBEsol level of DFT.

* space group: R-3m
* crystal system: trigonal
* energy of formation from the pure elements: 0.0816 eV per atom

```
data_Ca2ScCd
_cell_length_a 3.581
_cell_length_b 3.581
_cell_length_c 10.915
_cell_angle_alpha 80.56
_cell_angle_beta 80.56
_cell_angle_gamma 60.00
_space_group_name_H-M_alt 'P 1'
_space_group_IT_number 1
loop_
_space_group_symop_operation_xyz
'x,y,z'
loop_
_atom_site_label
_atom_site_fract_x
_atom_site_fract_y
_atom_site_fract_z
Ca1 0.755 0.755 0.734
Ca2 0.245 0.245 0.266
Cd1 0.500 0.500 0.500
Sc1 0.000 0.000 0.000
```

[7]
Computed, not measured: a geometry-optimized YZn3C structure at the GGA-PBEsol level of DFT.

* space group: Pm-3m
* crystal system: cubic
* energy of formation from the pure elements: 2.3299 eV per atom

```
data_YZn3C
_cell_length_a 5.564
_cell_length_b 5.564
_cell_length_c 5.564
_cell_angle_alpha 90.00
_cell_angle_beta 90.00
_cell_angle_gamma 90.00
_space_group_name_H-M_alt 'P 1'
_space_group_IT_number 1
loop_
_space_group_symop_operation_xyz
'x,y,z'
loop_
_atom_site_label
_atom_site_fract_x
_atom_site_fract_y
_atom_site_fract_z
C1 0.500 0.500 0.500
Zn1 0.000 0.000 0.500
Zn2 0.500 0.000 0.000
Zn3 0.000 0.500 0.000
Y1 0.000 0.000 0.000
```

[8]
Computed, not measured: a geometry-optimized MnHgS2 structure at the GGA-PBEsol level of DFT.

* ΔE to the lowest computed polymorph: 0.154 eV/atom
* space group: R3m
* crystal system: trigonal
* formation energy from raw total energies: -0.251 eV per atom

```
data_MnHgS2
_cell_length_a 4.042
_cell_length_b 4.042
_cell_length_c 6.926
_cell_angle_alpha 73.03
_cell_angle_beta 73.03
_cell_angle_gamma 60.00
_space_group_name_H-M_alt 'P 1'
_space_group_IT_number 1
loop_
_space_group_symop_operation_xyz
'x,y,z'
loop_
_atom_site_label
_atom_site_fract_x
_atom_site_fract_y
_atom_site_fract_z
Hg1 0.998 0.998 0.007
S1 0.382 0.382 0.855
S2 0.869 0.869 0.394
Mn1 0.502 0.502 0.494
```

[9]
Computed, not measured: a geometry-optimized ZrSc2Tl structure at the GGA-PBEsol level of DFT.

* ΔE to the lowest computed polymorph: 0.036 eV/atom
* space group: Pmmm
* crystal system: orthorhombic
* energy of formation from the pure elements: -0.1714 eV per atom

```
data_ZrSc2Tl
_cell_length_a 3.226
_cell_length_b 4.294
_cell_length_c 6.401
_cell_angle_alpha 90.00
_cell_angle_beta 90.00
_cell_angle_gamma 90.00
_space_group_name_H-M_alt 'P 1'
_space_group_IT_number 1
loop_
_space_group_symop_operation_xyz
'x,y,z'
loop_
_atom_site_label
_atom_site_fract_x
_atom_site_fract_y
_atom_site_fract_z
Sc1 0.000 0.000 0.745
Sc2 0.000 0.000 0.255
Zr1 0.500 0.500 0.500
Tl1 0.500 0.500 0.000
```

[10]
Computed, not measured: a geometry-optimized CuNi2Mo structure at the GGA-PBEsol level of DFT.

* ΔE to the lowest computed polymorph: 0.000 eV/atom
* space group: P4/mmm
* crystal system: tetragonal
* energy of formation from the pure elements: -0.0225 eV per atom

```
data_CuNi2Mo
_cell_length_a 2.593
_cell_length_b 2.593
_cell_length_c 6.991
_cell_angle_alpha 90.00
_cell_angle_beta 90.00
_cell_angle_gamma 90.00
_space_group_name_H-M_alt 'P 1'
_space_group_IT_number 1
loop_
_space_group_symop_operation_xyz
'x,y,z'
loop_
_atom_site_label
_atom_site_fract_x
_atom_site_fract_y
_atom_site_fract_z
Cu1 0.500 0.500 0.000
Ni1 0.000 0.000 0.762
Ni2 0.000 0.000 0.238
Mo1 0.500 0.500 0.500
```

[11]
Computed, not measured: a geometry-optimized Ta2ZnNi2 structure at the GGA-PBEsol level of DFT.

* space group: P4/mbm
* crystal system: tetragonal
* energy of formation from the pure elements: -0.1732 eV per atom

```
data_Ta2ZnNi2
_cell_length_a 3.161
_cell_length_b 6.675
_cell_length_c 6.675
_cell_angle_alpha 90.00
_cell_angle_beta 90.00
_cell_angle_gamma 90.00
_space_group_name_H-M_alt 'P 1'
_space_group_IT_number 1
loop_
_space_group_symop_operation_xyz
'x,y,z'
loop_
_atom_site_label
_atom_site_fract_x
_atom_site_fract_y
_atom_site_fract_z
Ta1 0.500 0.326 0.174
Ta2 0.500 0.674 0.826
Ta3 0.500 0.826 0.326
Ta4 0.500 0.174 0.674
Ni1 0.000 0.626 0.126
Ni2 0.000 0.126 0.374
Ni3 0.000 0.374 0.874
Ni4 0.000 0.874 0.626
Zn1 0.000 0.500 0.500
Zn2 0.000 0.000 0.000
```

[12]
Computed, not measured: a geometry-optimized Zr2NiAg structure at the GGA-PBEsol level of DFT.

* space group: Imm2
* crystal system: orthorhombic
* energy of formation from the pure elements: -0.0818 eV per atom

```
data_Zr2NiAg
_cell_length_a 3.146
_cell_length_b 4.573
_cell_length_c 5.649
_cell_angle_alpha 113.88
_cell_angle_beta 106.17
_cell_angle_gamma 90.00
_space_group_name_H-M_alt 'P 1'
_space_group_IT_number 1
loop_
_space_group_symop_operation_xyz
'x,y,z'
loop_
_atom_site_label
_atom_site_fract_x
_atom_site_fract_y
_atom_site_fract_z
Zr1 0.252 0.752 0.504
Zr2 0.032 0.032 0.063
Ni1 0.751 0.251 0.502
Ag1 0.465 0.465 0.931
```

Number 1: VASP energy -28.99 eV per cell. Number 2: VASP energy -15.35 eV per cell. Number 3: VASP energy -82.45 eV per cell. Number 4: VASP energy -563.20 eV per cell. Number 5: VASP energy -27.95 eV per cell. Number 6: VASP energy -11.74 eV per cell. Number 7: VASP energy -9.56 eV per cell. Number 8: VASP energy -20.10 eV per cell. Number 9: VASP energy -25.62 eV per cell. Number 10: VASP energy -28.51 eV per cell. Number 11: VASP energy -79.73 eV per cell. Number 12: VASP energy -27.98 eV per cell.